[1]
Computed, not measured: a geometry-optimized TlAsIO2 structure at the PBE level of DFT.

Summary:
* final energy: -3.28 eV/atom
* relative energy among the computed polymorphs: 1175 meV per atom
* D(E_F): 3.032 states/eV/f.u.
* magnetic moment: 0.46 μB per formula unit

abc: 4.2237 4.2237 7.2071
angles: 90.00 90.00 90.00
With the nearest neighbours (Å) after each atom.
Sites, in units of the cell vectors:
Tl  0.0000  0.0000  0.0000  4 O 2.11
As  0.5000  0.5000  0.5000  4 I 2.99
I  0.0000  0.0000  0.5000  4 As 2.99
O  0.0000  0.5000  0.0000  2 Tl 2.11
O  0.5000  0.0000  0.0000  2 Tl 2.11

---

[2]
Computed, not measured: a geometry-optimized TbGd2Th structure at the PBE level of DFT.

Summary:
* ΔH_f (0 K): 0.0355 eV/atom
* final energy: -10.02 eV/atom
* relative energy among the computed polymorphs: 0 meV per atom
* D(E_F): 6.668 states/eV/f.u.
* magnetic moment: 14.14 μB per formula unit

abc: 3.5708 3.5708 10.1364
angles: 90.00 90.00 90.00
With the nearest neighbours (Å) after each atom.
Sites, in units of the cell vectors:
Tb  0.0000  0.0000  0.0000  4 Tb 3.57, 8 Gd 3.62
Gd  0.5000  0.5000  0.2565  4 Th 3.53, 4 Gd 3.57, 4 Tb 3.62
Gd  0.5000  0.5000  0.7435  4 Th 3.53, 4 Gd 3.57, 4 Tb 3.62
Th  0.0000  0.0000  0.5000  8 Gd 3.53, 4 Th 3.57